Entry 1:
Pm2Pr4ErTh | PBE | optimized geometry

Lattice parameters (Å, degrees): 6.1175 6.1286 7.3466 90.00 90.08 90.00
Space group P2/m (No. 10)
Inequivalent atoms, fractional coordinates:
Pm 0.0000 0.0000 0.0000 (multiplicity 1)
Pm 0.5000 0.5000 0.5000 (multiplicity 1)
Pr 0.0000 0.5000 0.2452 (multiplicity 2)
Pr 0.4999 0.0000 0.2446 (multiplicity 2)
Er 0.0000 0.0000 0.5000 (multiplicity 1)
Th 0.5000 0.5000 0.0000 (multiplicity 1)

Properties
Electronic total energy: -4.941 eV per atom

Entry 2:
TiSnRu3 | PBE | optimized geometry

Lattice parameters (Å, degrees): 4.7726 4.7726 4.7726 90.00 90.00 90.00
Space group Pm-3m (No. 221)
Inequivalent atoms, fractional coordinates:
Ti 0.0000 0.0000 0.0000 (multiplicity 1)
Sn 0.5000 0.5000 0.5000 (multiplicity 1)
Ru 0.0000 0.5000 0.5000 (multiplicity 3)

Properties
Electronic total energy: -6.376 eV per atom
Distance to the lowest polymorph of the same formula: 662 meV/atom

Entry 3:
Tm4CdPd2Ru | PBE | optimized geometry

Lattice parameters (Å, degrees): 4.9309 4.9309 24.3257 90.00 90.00 120.00
Space group R-3m (No. 166, hexagonal axes)
Inequivalent atoms, fractional coordinates:
Tm 0.0000 0.0000 0.1164 (multiplicity 6)
Tm 0.0000 0.0000 0.3688 (multiplicity 6)
Cd 0.0000 0.0000 0.5000 (multiplicity 3)
Pd 0.0000 0.0000 0.2493 (multiplicity 6)
Ru 0.0000 0.0000 0.0000 (multiplicity 3)

Properties
Electronic total energy: -5.473 eV per atom

Entry 4:
HoEr2Tm9 | PBE | optimized geometry

Lattice parameters (Å, degrees): 11.0181 11.0181 3.4487 90.00 90.00 120.00
Space group P6/mmm (No. 191)
Inequivalent atoms, fractional coordinates:
Ho 0.0000 0.0000 0.0000 (multiplicity 1)
Er 0.3333 0.6667 0.0000 (multiplicity 2)
Tm 0.0000 0.5000 0.0000 (multiplicity 3)
Tm 0.1770 0.3540 0.5000 (multiplicity 6)

Properties
Electronic total energy: -4.438 eV per atom
Distance to the lowest polymorph of the same formula: 0 meV/atom